Compound: SmPuTeSe2
Source: the Alexandria database
Functional: GGA-PBE
Structure: relaxed

## Properties
Its total energy is -7.008 eV/atom.

Geometry as POSCAR:
```
SmPuTeSe2
1.0
-0.4013 -4.2254 -1.7209
4.4988 -0.0792 -0.8548
-0.8717 -0.5858 7.7363
Sm Pu Te Se
1 1 1 2
Cartesian
2.9177 -4.1736 3.4726 Sm
0.3077 -0.7159 1.6860 Pu
2.0507 -2.1567 -1.2774 Te
0.3871 -3.4799 2.3596 Se
2.8372 -1.4068 2.7926 Se
```